# 1
This record from Alexandria via LeMat-Bulk describes a geometry-optimized Ba3Te structure. The functional is PBE.

Unit cell a=8.7921 b=8.7921 c=8.7921 alpha=151.11 beta=140.74 gamma=49.47
Closest atoms and distances in Å follow each position.
Positions (direct):
Ba1 0.0000 0.0000 0.0000  4 Te 3.68, 4 Ba 4.10
Ba2 0.3218 0.8218 0.5000  2 Te 3.59
Ba3 0.6782 0.1782 0.5000  2 Te 3.59
Te1 0.5000 0.5000 0.0000  8 Ba 3.59-3.68

Summary:
Polymorph energy (0 for the lowest one), eV/atom: 0.066
SG: No. 71
Uncorrected energy, eV per cell: -11.75
Formation energy (no corrections), meV per atom: -711.0
Size of the total moment, μB per atom: 0.00



# 2
This record from Alexandria via LeMat-Bulk describes a geometry-optimized Sc2Tc2Pb structure. The functional is PBE.

Unit cell a=6.9248 b=6.9248 c=4.2504 alpha=90.00 beta=90.00 gamma=90.00
Closest atoms and distances in Å follow each position.
Positions (direct):
Sc1 0.1739 0.3261 0.0000  6 Tc 2.94-2.96
Sc2 0.3261 0.8261 0.0000  6 Tc 2.94-2.96
Sc3 0.6739 0.1739 0.0000  6 Tc 2.94-2.96
Sc4 0.8261 0.6739 0.0000  6 Tc 2.94-2.96
Tc1 0.1188 0.6188 0.5000  1 Tc 2.33
Tc2 0.3812 0.1188 0.5000  1 Tc 2.33
Tc3 0.6188 0.8812 0.5000  1 Tc 2.33
Tc4 0.8812 0.3812 0.5000  1 Tc 2.33
Pb1 0.0000 0.0000 0.5000  4 Tc 2.77
Pb2 0.5000 0.5000 0.5000  4 Tc 2.77

Summary:
SG: No. 127
Uncorrected energy, eV per cell: -74.63
Size of the total moment, μB per atom: 0.00
E_form, meV/atom: -43



# 3
This record from Alexandria via LeMat-Bulk describes a geometry-optimized Pm5MgAg4 structure. The functional is PBE.

Unit cell a=3.7525 b=3.7525 c=18.7920 alpha=90.00 beta=90.00 gamma=90.00
Closest atoms and distances in Å follow each position.
Positions (direct):
Pm1 0.0000 0.0000 0.0000  8 Ag 3.23
Pm2 0.0000 0.0000 0.1978  8 Ag 3.25-3.26
Pm3 0.0000 0.0000 0.3948  4 Ag 3.21, 4 Mg 3.31
Pm4 0.0000 0.0000 0.6052  4 Ag 3.21, 4 Mg 3.31
Pm5 0.0000 0.0000 0.8022  8 Ag 3.25-3.26
Mg1 0.5000 0.5000 0.5000  8 Pm 3.31
Ag1 0.5000 0.5000 0.0984  8 Pm 3.23-3.25
Ag2 0.5000 0.5000 0.2986  8 Pm 3.21-3.26
Ag3 0.5000 0.5000 0.7014  8 Pm 3.21-3.26
Ag4 0.5000 0.5000 0.9016  8 Pm 3.23-3.25

Summary:
SG: No. 123
Uncorrected energy, eV per cell: -39.12
Size of the total moment, μB per atom: 0.00
E_form, meV/atom: -237



# 4
This record from Alexandria via LeMat-Bulk describes a geometry-optimized PuAl2Cl8 structure. The functional is PBE.

Unit cell a=10.3683 b=10.3683 c=9.8292 alpha=116.88 beta=116.88 gamma=57.38
Closest atoms and distances in Å follow each position.
Positions (direct):
Pu1 0.0318 0.9682 0.7500  8 Cl 2.93-3.13
Pu2 0.9682 0.0318 0.2500  8 Cl 2.93-3.13
Al1 0.1517 0.6513 0.9381  4 Cl 2.09-2.23
Al2 0.3487 0.8483 0.5619  4 Cl 2.09-2.23
Al3 0.6513 0.1517 0.4381  4 Cl 2.09-2.23
Al4 0.8483 0.3487 0.0619  4 Cl 2.09-2.23
Cl1 0.0602 0.2615 0.9942  1 Al 2.17
Cl2 0.0828 0.6431 0.6909  1 Al 2.17
Cl3 0.1379 0.7901 0.4372  1 Al 2.23
Cl4 0.2099 0.8621 0.0628  1 Al 2.23
Cl5 0.2615 0.0602 0.4942  1 Al 2.17
Cl6 0.3368 0.4415 0.9970  1 Al 2.09
Cl7 0.3569 0.9172 0.8091  1 Al 2.17
Cl8 0.4415 0.3368 0.4970  1 Al 2.09
Cl9 0.5585 0.6632 0.5030  1 Al 2.09
Cl10 0.6431 0.0828 0.1909  1 Al 2.17
Cl11 0.6632 0.5585 0.0030  1 Al 2.09
Cl12 0.7385 0.9398 0.5058  1 Al 2.17
Cl13 0.7901 0.1379 0.9372  1 Al 2.23
Cl14 0.8621 0.2099 0.5628  1 Al 2.23
Cl15 0.9172 0.3569 0.3091  1 Al 2.17
Cl16 0.9398 0.7385 0.0058  1 Al 2.17

Summary:
Polymorph energy (0 for the lowest one), eV/atom: 0.000
SG: No. 15
Uncorrected energy, eV per cell: -108.30
Formation energy (no corrections), meV per atom: -1596.5
Size of the total moment, μB per atom: 0.55



# 5
This record from Alexandria via LeMat-Bulk describes a geometry-optimized Nd2TmSe3 structure. The functional is PBE.

Unit cell a=13.6335 b=13.0067 c=7.2410 alpha=79.06 beta=69.50 gamma=31.43
Closest atoms and distances in Å follow each position.
Positions (direct):
Nd1 0.0456 0.0456 0.2044  6 Se 2.99-3.03
Nd2 0.1227 0.1227 0.6273  6 Se 2.94-3.01
Nd3 0.2044 0.2044 0.0456  6 Se 2.99-3.03
Nd4 0.3727 0.3727 0.8773  6 Se 2.94-3.01
Nd5 0.6273 0.6273 0.1227  6 Se 2.94-3.01
Nd6 0.7956 0.7956 0.9544  6 Se 2.99-3.03
Nd7 0.8773 0.8773 0.3727  6 Se 2.94-3.01
Nd8 0.9544 0.9544 0.7956  6 Se 2.99-3.03
Tm1 0.2923 0.2923 0.4577  6 Se 2.83-2.86
Tm2 0.4577 0.4577 0.2923  6 Se 2.83-2.86
Tm3 0.5423 0.5423 0.7077  6 Se 2.83-2.86
Tm4 0.7077 0.7077 0.5423  6 Se 2.83-2.86
Se1 0.0376 0.5393 0.2261  2 Tm 2.85-2.86, 4 Nd 3.00-3.03
Se2 0.1428 0.6072 0.6072  2 Tm 2.83, 4 Nd 2.94-2.99
Se3 0.2261 0.6970 0.0376  2 Tm 2.85-2.86, 4 Nd 3.00-3.03
Se4 0.3030 0.7739 0.4607  2 Tm 2.85-2.86, 4 Nd 3.00-3.03
Se5 0.3928 0.8572 0.8572  2 Tm 2.83, 4 Nd 2.94-2.99
Se6 0.4607 0.9624 0.3030  2 Tm 2.85-2.86, 4 Nd 3.00-3.03
Se7 0.5393 0.0376 0.6970  2 Tm 2.85-2.86, 4 Nd 3.00-3.03
Se8 0.6072 0.1428 0.1428  2 Tm 2.83, 4 Nd 2.94-2.99
Se9 0.6970 0.2261 0.5393  2 Tm 2.85-2.86, 4 Nd 3.00-3.03
Se10 0.7739 0.3030 0.9624  2 Tm 2.85-2.86, 4 Nd 3.00-3.03
Se11 0.8572 0.3928 0.3928  2 Tm 2.83, 4 Nd 2.94-2.99
Se12 0.9624 0.4607 0.7739  2 Tm 2.85-2.86, 4 Nd 3.00-3.03

Summary:
Polymorph energy (0 for the lowest one), eV/atom: 0.000
SG: No. 70
Uncorrected energy, eV per cell: -140.66
Formation energy (no corrections), meV per atom: -1784.0
Size of the total moment, μB per atom: 0.00



# 6
This record from Alexandria via LeMat-Bulk describes a geometry-optimized BeSi2W structure. The functional is PBE.

Unit cell a=4.3890 b=2.7459 c=4.7312 alpha=90.00 beta=112.24 gamma=90.00
Closest atoms and distances in Å follow each position.
Positions (direct):
Be1 0.0000 0.0000 0.0000  6 Si 2.55-2.59, 4 W 2.74, 2 Be 2.75
Si1 0.5000 0.0000 0.5000  2 Be 2.55, 4 W 2.59, 6 Si 2.74-2.75
Si2 0.5000 0.5000 0.0000  2 W 2.55, 4 Be 2.59, 6 Si 2.74-2.75
W1 0.0000 0.5000 0.5000  6 Si 2.55-2.59, 4 Be 2.74, 2 W 2.75

Summary:
SG: No. 10
Uncorrected energy, eV per cell: -26.58
Formation energy (no corrections), meV per atom: 235.9
Size of the total moment, μB per atom: 0.00



# 7
This record from Alexandria via LeMat-Bulk describes a geometry-optimized CoPH2 structure. The functional is PBE.

Unit cell a=5.7171 b=5.7171 c=5.7171 alpha=153.21 beta=67.74 gamma=119.09
Closest atoms and distances in Å follow each position.
Positions (direct):
Co1 0.1239 0.0000 0.1239  3 H 1.67-1.84
Co2 0.8761 0.0000 0.8761  3 H 1.67-1.84
P1 0.1252 0.3451 0.7801  1 H 1.44
P2 0.5650 0.3451 0.2199  1 H 1.44
H1 0.0863 0.5863 0.5000  4 Co 1.84
H2 0.3927 0.4891 0.9035  1 P 1.44
H3 0.5856 0.4891 0.0965  1 P 1.44
H4 0.7963 0.7963 0.0000  2 Co 1.67

Summary:
Polymorph energy (0 for the lowest one), eV/atom: 0.000
SG: No. 44
Uncorrected energy, eV per cell: -39.15
Size of the total moment, μB per atom: 0.00



# 8
This record from Alexandria via LeMat-Bulk describes a geometry-optimized Th4TlSb2As structure. The functional is PBE.

Unit cell a=7.6968 b=4.4527 c=7.7346 alpha=90.00 beta=109.37 gamma=90.00
Closest atoms and distances in Å follow each position.
Positions (direct):
Th1 0.2361 0.0000 0.2345  2 As 3.06, 1 Tl 3.14, 3 Sb 3.16-3.25
Th2 0.2446 0.5000 0.7583  1 As 3.06, 2 Tl 3.14, 3 Sb 3.16-3.23
Th3 0.7554 0.5000 0.2417  1 As 3.06, 2 Tl 3.14, 3 Sb 3.16-3.23
Th4 0.7639 0.0000 0.7655  2 As 3.06, 1 Tl 3.14, 3 Sb 3.16-3.25
Tl1 0.5000 0.0000 0.0000  6 Th 3.14
Sb1 0.0000 0.0000 0.5000  6 Th 3.16
Sb2 0.5000 0.5000 0.5000  6 Th 3.23-3.25
As1 0.0000 0.5000 0.0000  6 Th 3.06

Summary:
SG: No. 10
Uncorrected energy, eV per cell: -51.15
Formation energy (no corrections), meV per atom: -775.8
Size of the total moment, μB per atom: 0.00